1.
Tc2SbSe | GGA-PBE | optimized geometry

Structure (POSCAR):
```
Tc2SbSe
1.0
-0.524 1.648 3.999
-3.219 0.584 2.878
0.459 -4.550 3.211
Sb Se Tc
1 1 2
direct
0.750 0.750 0.750 Sb
0.250 0.250 0.250 Se
0.002 0.002 0.039 Tc
0.498 0.498 0.461 Tc
```

Summary:
space group = C2/m, No. 12
formation energy from raw total energies = 20.05 kJ/mol of atoms
N(E_F) = 2.60 states/eV/cell
VASP energy = -27.5 eV per cell

2.
Tc2SbSe | GGA-PBE | optimized geometry

Structure (POSCAR):
```
Tc2SbSe
1.0
4.984 -0.023 0.000
1.606 4.719 0.000
-3.295 -2.348 2.911
Sb Se Tc
1 1 2
direct
0.500 0.500 0.000 Sb
0.750 0.250 0.500 Se
0.000 0.000 0.000 Tc
0.250 0.750 0.500 Tc
```

Summary:
space group = I-4m2, No. 119
formation energy from raw total energies = 49.84 kJ/mol of atoms
N(E_F) = 3.84 states/eV/cell
VASP energy = -26.3 eV per cell

3.
Tc2SbSe | GGA-PBE | optimized geometry

Structure (POSCAR):
```
Tc2SbSe
1.0
-5.597 -0.544 0.288
-3.213 -0.916 -4.532
4.301 -1.742 3.190
Sb Se Tc
1 1 2
direct
0.506 0.506 0.000 Sb
0.773 0.273 0.500 Se
0.973 0.973 0.000 Tc
0.248 0.748 0.500 Tc
```

Summary:
space group = Imm2, No. 44
formation energy from raw total energies = 29.76 kJ/mol of atoms
N(E_F) = 4.35 states/eV/cell
VASP energy = -27.1 eV per cell

4.
Tc2SbSe | GGA-PBE | optimized geometry

Structure (POSCAR):
```
Tc2SbSe
1.0
-2.397 2.344 -3.273
-0.659 -2.717 -1.463
-3.983 -0.435 2.605
Sb Se Tc
1 1 2
direct
0.000 0.375 0.488 Sb
0.500 0.875 0.804 Se
0.000 0.875 0.012 Tc
0.500 0.375 0.195 Tc
```

Summary:
space group = Pmm2, No. 25
formation energy from raw total energies = 4.86 kJ/mol of atoms
N(E_F) = 3.22 states/eV/cell
VASP energy = -28.1 eV per cell

5.
Tc2SbSe | GGA-PBE | optimized geometry

Structure (POSCAR):
```
Tc2SbSe
1.0
-3.537 1.257 -7.244
-6.026 1.341 -5.334
-4.275 3.913 -5.743
Sb Se Tc
1 1 2
direct
0.250 0.250 0.250 Sb
0.750 0.750 0.750 Se
0.005 0.005 0.005 Tc
0.495 0.495 0.495 Tc
```

Summary:
space group = R-3m, No. 166
formation energy from raw total energies = 23.49 kJ/mol of atoms
N(E_F) = 3.83 states/eV/cell
VASP energy = -27.4 eV per cell

6.
Tc2Sb2Se | GGA-PBE | optimized geometry

Structure (POSCAR):
```
Tc2Sb2Se
1.0
-7.595 0.108 0.794
-0.554 -6.177 -4.457
0.246 -1.904 2.608
Sb Tc Se
4 4 2
direct
0.149 0.649 0.500 Sb
0.649 0.851 0.500 Sb
0.851 0.351 0.500 Sb
0.351 0.149 0.500 Sb
0.355 0.855 0.000 Tc
0.855 0.645 0.000 Tc
0.645 0.145 0.000 Tc
0.145 0.355 0.000 Tc
0.000 0.000 0.000 Se
0.500 0.500 0.000 Se
```

Summary:
space group = P4/mbm, No. 127
formation energy from raw total energies = 19.42 kJ/mol of atoms
N(E_F) = 8.28 states/eV/cell
VASP energy = -62.9 eV per cell

7.
Tc2SbSe | GGA-PBE | optimized geometry

Structure (POSCAR):
```
Tc2SbSe
1.0
3.190 -0.002 0.000
-1.673 2.715 0.000
0.000 0.000 8.323
Sb Se Tc
1 1 2
direct
0.500 0.500 0.250 Sb
0.500 0.500 0.750 Se
0.000 0.000 0.987 Tc
0.000 0.000 0.513 Tc
```

Summary:
space group = Cmmm, No. 65
formation energy from raw total energies = 59.82 kJ/mol of atoms
N(E_F) = 3.84 states/eV/cell
VASP energy = -25.9 eV per cell

8.
Tc2SbSe | GGA-PBE | optimized geometry

Structure (POSCAR):
```
Tc2SbSe
1.0
3.038 0.000 0.000
0.000 3.038 0.000
0.000 0.000 8.536
Sb Se Tc
1 1 2
direct
0.000 0.000 0.430 Sb
0.500 0.500 0.843 Se
0.000 0.000 0.010 Tc
0.500 0.500 0.217 Tc
```

Summary:
space group = P4mm, No. 99
formation energy from raw total energies = -0.23 kJ/mol of atoms
N(E_F) = 2.95 states/eV/cell
VASP energy = -28.3 eV per cell

9.
Tc3SbSe | GGA-PBE | optimized geometry

Structure (POSCAR):
```
Tc3SbSe
1.0
-0.171 -2.757 -4.024
4.048 -2.328 1.423
-2.723 -3.287 2.368
Sb Tc Se
1 3 1
direct
0.000 0.000 0.000 Sb
0.000 0.500 0.000 Tc
0.000 0.000 0.500 Tc
0.500 0.000 0.000 Tc
0.500 0.500 0.500 Se
```

Summary:
space group = Pm-3m, No. 221
formation energy from raw total energies = 189.83 kJ/mol of atoms
N(E_F) = 5.83 states/eV/cell
VASP energy = -28.9 eV per cell

10.
TcSb3Se | GGA-PBE | optimized geometry

Structure (POSCAR):
```
TcSb3Se
1.0
5.329 0.000 0.000
0.000 5.329 0.000
0.000 0.000 5.329
Sb Tc Se
3 1 1
direct
0.000 0.500 0.000 Sb
0.000 0.000 0.500 Sb
0.500 0.000 0.000 Sb
0.500 0.500 0.500 Tc
0.000 0.000 0.000 Se
```

Summary:
space group = Pm-3m, No. 221
formation energy from raw total energies = 122.92 kJ/mol of atoms
N(E_F) = 4.17 states/eV/cell
VASP energy = -19.8 eV per cell

11.
Tc2SbSe | GGA-PBE | optimized geometry

Structure (POSCAR):
```
Tc2SbSe
1.0
-1.466 1.063 2.628
1.751 -1.988 1.780
4.478 4.539 0.662
Sb Se Tc
1 1 2
direct
0.500 0.500 0.250 Sb
0.500 0.500 0.750 Se
0.000 0.000 0.989 Tc
0.000 0.000 0.511 Tc
```

Summary:
space group = P4/mmm, No. 123
formation energy from raw total energies = 18.27 kJ/mol of atoms
N(E_F) = 4.22 states/eV/cell
VASP energy = -27.6 eV per cell

12.
Th4TcSbSe2 | GGA-PBE | optimized geometry

Structure (POSCAR):
```
Th4TcSbSe2
1.0
4.207 0.000 0.000
0.000 7.684 0.231
0.000 -2.584 6.996
Th Tc Sb Se
4 1 1 2
direct
0.500 0.277 0.246 Th
0.500 0.723 0.754 Th
0.000 0.283 0.776 Th
0.000 0.717 0.224 Th
0.500 0.500 0.000 Tc
0.000 0.000 0.000 Sb
0.500 0.000 0.500 Se
0.000 0.500 0.500 Se
```

Summary:
space group = P2/m, No. 10
formation energy from raw total energies = -94.87 kJ/mol of atoms
N(E_F) = 7.32 states/eV/cell
VASP energy = -59.0 eV per cell

13.
Sb2TeSe5 | GGA-PBE | optimized geometry

Structure (POSCAR):
```
Sb2TeSe5
1.0
-4.456 -3.463 -1.112
5.163 -0.046 -5.672
6.346 -10.047 5.857
Sb Te Se
4 2 10
direct
0.828 0.655 0.442 Sb
0.828 0.655 0.058 Sb
0.172 0.345 0.558 Sb
0.172 0.345 0.942 Sb
0.826 0.652 0.750 Te
0.174 0.348 0.250 Te
0.950 0.899 0.891 Se
0.950 0.899 0.609 Se
0.323 0.646 0.440 Se
0.323 0.646 0.060 Se
0.719 0.437 0.250 Se
0.281 0.563 0.750 Se
0.677 0.354 0.560 Se
0.677 0.354 0.940 Se
0.050 0.101 0.109 Se
0.050 0.101 0.391 Se
```

Summary:
space group = Cmcm, No. 63
formation energy from raw total energies = -8.78 kJ/mol of atoms
N(E_F) = 2.63 states/eV/cell
VASP energy = -59.1 eV per cell

14.
SbTeSe2 | GGA-PBE | optimized geometry

Structure (POSCAR):
```
SbTeSe2
1.0
7.632 -0.003 -0.002
6.500 3.999 -0.002
6.500 1.838 3.552
Sb Se Te
1 2 1
direct
0.750 0.750 0.750 Sb
0.005 0.005 0.005 Se
0.495 0.495 0.495 Se
0.250 0.250 0.250 Te
```

Summary:
space group = R-3m, No. 166
formation energy from raw total energies = 2.52 kJ/mol of atoms
N(E_F) = 2.43 states/eV/cell
VASP energy = -14.1 eV per cell

15.
SbTeSe2 | GGA-PBE | optimized geometry

Structure (POSCAR):
```
SbTeSe2
1.0
4.184 0.000 0.000
0.000 5.245 0.053
0.000 1.657 4.976
Sb Se Te
1 2 1
direct
0.500 0.750 0.750 Sb
0.000 0.992 0.991 Se
0.000 0.508 0.509 Se
0.500 0.250 0.250 Te
```

Summary:
space group = Cmmm, No. 65
formation energy from raw total energies = 3.06 kJ/mol of atoms
N(E_F) = 1.54 states/eV/cell
VASP energy = -14.1 eV per cell

16.
SbTe4Se | GGA-PBE | optimized geometry

Structure (POSCAR):
```
SbTe4Se
1.0
-4.689 2.665 3.178
-4.439 3.186 -3.055
-5.794 -2.332 -0.427
Sb Te Se
1 4 1
direct
0.750 0.750 0.750 Sb
0.876 0.375 0.375 Te
0.375 0.375 0.876 Te
0.375 0.876 0.375 Te
0.375 0.375 0.375 Te
0.000 0.000 0.000 Se
```

Summary:
space group = F-43m, No. 216
formation energy from raw total energies = 56.77 kJ/mol of atoms
N(E_F) = 7.46 states/eV/cell
VASP energy = -16.6 eV per cell

17.
Sb3TeSe | GGA-PBE | optimized geometry

Structure (POSCAR):
```
Sb3TeSe
1.0
5.686 0.000 0.000
0.000 5.686 0.000
0.000 0.000 5.686
Sb Te Se
3 1 1
direct
0.000 0.500 0.000 Sb
0.000 0.000 0.500 Sb
0.500 0.000 0.000 Sb
0.000 0.000 0.000 Te
0.500 0.500 0.500 Se
```

Summary:
space group = Pm-3m, No. 221
formation energy from raw total energies = 97.55 kJ/mol of atoms
N(E_F) = 7.58 states/eV/cell
VASP energy = -13.9 eV per cell

18.
SbTe2Se | GGA-PBE | optimized geometry

Structure (POSCAR):
```
SbTe2Se
1.0
-2.531 -3.516 -1.521
2.691 -0.528 -3.257
3.316 -3.836 3.350
Sb Se Te
1 1 2
direct
0.500 0.500 0.500 Sb
0.000 0.000 0.500 Se
0.000 0.000 0.000 Te
0.500 0.500 0.000 Te
```

Summary:
space group = P2/m, No. 10
formation energy from raw total energies = 2.43 kJ/mol of atoms
N(E_F) = 1.07 states/eV/cell
VASP energy = -13.8 eV per cell

19.
SbTeSe2 | GGA-PBE | optimized geometry

Structure (POSCAR):
```
SbTeSe2
1.0
4.470 0.000 0.000
0.000 4.092 0.000
0.000 0.000 6.009
Sb Se Te
1 2 1
direct
0.500 0.500 0.893 Sb
0.000 0.000 0.889 Se
0.500 0.500 0.346 Se
0.000 0.000 0.372 Te
```

Summary:
space group = Pmm2, No. 25
formation energy from raw total energies = 0.01 kJ/mol of atoms
N(E_F) = 1.26 states/eV/cell
VASP energy = -14.2 eV per cell

20.
SbTe2Se | GGA-PBE | optimized geometry

Structure (POSCAR):
```
SbTe2Se
1.0
-5.609 -0.412 -4.754
-3.047 -2.867 -6.061
-2.216 -3.378 2.002
Sb Se Te
1 1 2
direct
0.750 0.750 0.750 Sb
0.250 0.250 0.250 Se
0.054 0.054 0.909 Te
0.446 0.446 0.591 Te
```

Summary:
space group = C2/m, No. 12
formation energy from raw total energies = 10.26 kJ/mol of atoms
N(E_F) = 2.06 states/eV/cell
VASP energy = -13.5 eV per cell